1.
A plane-wave DFT calculation with PBE-GGA was carried out for a relaxed Fe2NiPt6 crystal.

a = 2.7436 Å, b = 7.2784 Å, c = 13.6676 Å
α = 90.00°, β = 90.00°, γ = 90.00°
Last column: nearest neighbours and their distance in Å.
Space group Immm (No. 71)
Symmetry-distinct sites (fractional):
Fe 0.0000 0.0000 0.1662  8 Pt 2.63-2.67, 2 Fe 2.74
Ni 0.0000 0.0000 0.5000  8 Pt 2.63-2.67, 2 Ni 2.74
Pt 0.0000 0.1914 0.3332  3 Fe 2.63-2.67, 1 Ni 2.67, 7 Pt 2.74-2.79
Pt 0.0000 0.1918 0.0000  2 Ni 2.63, 2 Fe 2.67, 7 Pt 2.74-2.79

Results
* density of states at the Fermi level: 14.92 states/eV per cell
* formation energy: -59 meV/atom
* uncorrected energy: -118.97 eV per cell
* ΔE to the lowest computed polymorph: 0.153 eV per atom


2.
A plane-wave DFT calculation with PBE-GGA was carried out for a relaxed Np2CrFeN5 crystal.

a = 3.2046 Å, b = 12.7182 Å, c = 9.6192 Å
α = 90.00°, β = 90.00°, γ = 90.00°
Last column: nearest neighbours and their distance in Å.
Space group Cmc2_1 (No. 36)
Symmetry-distinct sites (fractional):
Np 0.0000 0.1134 0.0000  6 N 2.21-2.43
Np 0.0000 0.1434 0.6350  7 N 2.24-2.44
Cr 0.0000 0.4471 0.7824  4 N 1.83-1.88
Fe 0.0000 0.2076 0.3458  6 N 1.97-2.12
N 0.0000 0.0552 0.3801  2 Cr 1.86, 1 Fe 1.97
N 0.0000 0.2865 0.9820  2 Fe 2.07, 1 Np 2.21
N 0.0000 0.3118 0.7035  1 Cr 1.88
N 0.0000 0.3670 0.3263  1 Fe 2.04
N 0.0000 0.4975 0.1063  1 Cr 1.83

Results
* density of states at the Fermi level: 37.34 states/eV per cell
* uncorrected energy: -368.16 eV per cell
* uncorrected formation energy: -716 meV per atom


3.
A plane-wave DFT calculation with PBE-GGA was carried out for a relaxed NaNi2Br6 crystal.

a = 6.4736 Å, b = 6.4736 Å, c = 6.6360 Å
α = 90.00°, β = 90.00°, γ = 120.00°
Last column: nearest neighbours and their distance in Å.
Space group P-31m (No. 162)
Symmetry-distinct sites (fractional):
Na 0.0000 0.0000 0.0000  6 Br 3.05
Ni 0.3333 0.6667 0.5000  6 Br 2.50
Br 0.0000 0.3704 0.7152  2 Ni 2.50

Results
* density of states at the Fermi level: 5.15 states/eV per cell
* uncorrected energy: -27.71 eV per cell
* uncorrected formation energy: -532 meV per atom


4.
A plane-wave DFT calculation with PBE-GGA was carried out for a relaxed BaAc2 crystal.

a = 10.8462 Å, b = 10.8462 Å, c = 10.8462 Å
α = 90.00°, β = 90.00°, γ = 90.00°
Last column: nearest neighbours and their distance in Å.
Space group Fd-3m (No. 227, origin choice 2)
Symmetry-distinct sites (fractional):
Ba 0.1250 0.1250 0.1250  12 Ac 4.50, 4 Ba 4.70
Ac 0.0000 0.0000 0.5000  6 Ac 3.83

Results
* density of states at the Fermi level: 48.23 states/eV per cell
* formation energy: 180 meV/atom
* uncorrected energy: -76.79 eV per cell
* ΔE to the lowest computed polymorph: 0.130 eV per atom


What did the second record say?
A plane-wave DFT calculation with PBE-GGA was carried out for a relaxed Np2CrFeN5 crystal.

a = 3.2046 Å, b = 12.7182 Å, c = 9.6192 Å
α = 90.00°, β = 90.00°, γ = 90.00°
Last column: nearest neighbours and their distance in Å.
Space group Cmc2_1 (No. 36)
Symmetry-distinct sites (fractional):
Np 0.0000 0.1134 0.0000  6 N 2.21-2.43
Np 0.0000 0.1434 0.6350  7 N 2.24-2.44
Cr 0.0000 0.4471 0.7824  4 N 1.83-1.88
Fe 0.0000 0.2076 0.3458  6 N 1.97-2.12
N 0.0000 0.0552 0.3801  2 Cr 1.86, 1 Fe 1.97
N 0.0000 0.2865 0.9820  2 Fe 2.07, 1 Np 2.21
N 0.0000 0.3118 0.7035  1 Cr 1.88
N 0.0000 0.3670 0.3263  1 Fe 2.04
N 0.0000 0.4975 0.1063  1 Cr 1.83

Results
* density of states at the Fermi level: 37.34 states/eV per cell
* uncorrected energy: -368.16 eV per cell
* uncorrected formation energy: -716 meV per atom